Record 1
Entry from Alexandria: a relaxed Rb3Sm crystal (PBE-GGA).

Cell lengths 6.3799, 6.3799, 6.3799 Å; angles 90.00, 90.00, 90.00 degrees
Last column: nearest neighbours and their distance in Å.
Atoms (fractional coordinates):
1 Rb 0.0000 0.5000 0.5000  8 Rb 4.51, 4 Sm 4.51
2 Rb 0.5000 0.0000 0.5000  8 Rb 4.51, 4 Sm 4.51
3 Rb 0.5000 0.5000 0.0000  8 Rb 4.51, 4 Sm 4.51
4 Sm 0.0000 0.0000 0.0000  12 Rb 4.51

## Properties
Its density of states at the Fermi level is 5.70 states/eV/f.u. The value obtained for the energy above the lowest structure with this stoichiometry is 3 meV per atom. For the formation enthalpy at 0 K, the calculation gives 0.6069 eV per atom. The density comes out at 2.60 g/cm³. The magnetic moment comes out at 0.1320 μB per atom. As for the calculated volume: 259.7 Å³/f.u.



Record 2
Entry from Alexandria: a relaxed Rb4Sm crystal (PBE-GGA).

Cell lengths 7.6658, 7.6658, 7.6658 Å; angles 90.00, 90.00, 90.00 degrees
Last column: nearest neighbours and their distance in Å.
Atoms (fractional coordinates):
1 Rb 0.0000 0.0000 0.0000  12 Rb 5.42
2 Rb 0.5000 0.0000 0.5000  2 Sm 3.83
3 Rb 0.0000 0.5000 0.5000  2 Sm 3.83
4 Rb 0.5000 0.5000 0.0000  2 Sm 3.83
5 Sm 0.5000 0.5000 0.5000  6 Rb 3.83

## Properties
Its density of states at the Fermi level is 14.96 states/eV/f.u. For the formation enthalpy at 0 K, the calculation gives 0.6827 eV per atom. The density comes out at 1.81 g/cm³. The magnetic moment comes out at 0.6925 μB per atom. As for the calculated volume: 450.5 Å³/f.u.



Record 3
Entry from Alexandria: a relaxed Rb3Sm crystal (PBE-GGA).

Cell lengths 7.2148, 7.2148, 7.2148 Å; angles 60.00, 60.00, 60.00 degrees
Last column: nearest neighbours and their distance in Å.
Atoms (fractional coordinates):
1 Rb 0.2500 0.2500 0.2500  4 Rb 4.42, 4 Sm 4.42
2 Rb 0.7500 0.7500 0.7500  4 Rb 4.42, 4 Sm 4.42
3 Rb 0.5000 0.5000 0.5000  8 Rb 4.42
4 Sm 0.0000 0.0000 0.0000  8 Rb 4.42

## Properties
Its density of states at the Fermi level is 8.59 states/eV/f.u. The value obtained for the energy above the lowest structure with this stoichiometry is 17 meV per atom. For the formation enthalpy at 0 K, the calculation gives 0.6211 eV per atom. The density comes out at 2.54 g/cm³. The magnetic moment comes out at 0.4019 μB per atom. As for the calculated volume: 265.6 Å³/f.u.



Record 4
Entry from Alexandria: a relaxed Rb3Sm crystal (PBE-GGA).

Cell lengths 8.0317, 8.0317, 8.0317 Å; angles 134.19, 134.19, 66.79 degrees
Last column: nearest neighbours and their distance in Å.
Atoms (fractional coordinates):
1 Rb 0.7500 0.2500 0.5000  8 Rb 4.42-4.58, 4 Sm 4.58
2 Rb 0.2500 0.7500 0.5000  8 Rb 4.42-4.58, 4 Sm 4.58
3 Rb 0.5000 0.5000 0.0000  4 Sm 4.42, 8 Rb 4.58
4 Sm 0.0000 0.0000 0.0000  12 Rb 4.42-4.58

## Properties
Its density of states at the Fermi level is 5.90 states/eV/f.u. The value obtained for the energy above the lowest structure with this stoichiometry is 0 meV per atom. For the formation enthalpy at 0 K, the calculation gives 0.6038 eV per atom. The density comes out at 2.58 g/cm³. The magnetic moment comes out at 0.3367 μB per atom. As for the calculated volume: 262.1 Å³/f.u.